DFT (PBE-GGA) results for an optimized crystal structure of Y2Er3Lu2Ni2Te2.

Computed properties:
VASP energy = -5.5045 eV per atom
SG = No. 44

a = 9.2553 Å, b = 9.2553 Å, c = 9.2553 Å
α = 156.16°, β = 66.97°, γ = 118.46°
Closest atoms and distances in Å follow each position.
Fractional positions:
Y (0.1466, 0.0000, 0.1466)  2 Ni 2.84, 2 Te 3.13
Y (0.8534, 0.0000, 0.8534)  2 Ni 2.84, 2 Te 3.13
Er (0.1674, 0.3520, 0.8154)  2 Ni 2.77
Er (0.2322, 0.7322, 0.5000)  3 Te 3.16-3.21
Er (0.5366, 0.3520, 0.1846)  2 Ni 2.77
Lu (0.5162, 0.1492, 0.3670)  2 Ni 2.74
Lu (0.7822, 0.1492, 0.6330)  2 Ni 2.74
Ni (0.4009, 0.6610, 0.7399)  2 Lu 2.74, 2 Er 2.77, 2 Y 2.84
Ni (0.9211, 0.6610, 0.2601)  2 Lu 2.74, 2 Er 2.77, 2 Y 2.84
Te (0.4978, 0.4978, 0.0000)  4 Lu 3.15, 4 Er 3.16-3.17
Te (0.8936, 0.3936, 0.5000)  2 Lu 3.09, 4 Y 3.13, 1 Er 3.21

***

DFT (PBE-GGA) results for an optimized crystal structure of Li4InIr2Pb.

Computed properties:
VASP energy = -4.2056 eV per atom
SG = No. 115

a = 4.4923 Å, b = 4.4923 Å, c = 6.3323 Å
α = 90.00°, β = 90.00°, γ = 90.00°
Closest atoms and distances in Å follow each position.
Fractional positions:
Li (0.0000, 0.0000, 0.0000)  4 Ir 2.76, 4 Li 2.78
Li (0.0000, 0.5000, 0.7407)  2 In 2.71, 4 Li 2.71-2.78, 2 Pb 2.78
Li (0.5000, 0.0000, 0.2593)  2 In 2.71, 4 Li 2.71-2.78, 2 Pb 2.78
Li (0.5000, 0.5000, 0.5000)  4 Li 2.71, 4 Ir 2.73
In (0.0000, 0.0000, 0.5000)  4 Li 2.71, 4 Ir 2.73
Ir (0.0000, 0.5000, 0.2539)  2 In 2.73, 4 Li 2.73-2.76, 2 Pb 2.76
Ir (0.5000, 0.0000, 0.7461)  2 In 2.73, 4 Li 2.73-2.76, 2 Pb 2.76
Pb (0.5000, 0.5000, 0.0000)  4 Ir 2.76, 4 Li 2.78

***

DFT (PBE-GGA) results for an optimized crystal structure of CdGeB4.

Computed properties:
VASP energy = -4.8166 eV per atom
SG = No. 71

a = 5.0236 Å, b = 5.0236 Å, c = 5.0236 Å
α = 144.22°, β = 115.22°, γ = 76.27°
Closest atoms and distances in Å follow each position.
Fractional positions:
Cd (0.0000, 0.0000, 0.0000)  12 B 2.67
Ge (0.5000, 0.5000, 0.0000)  12 B 2.65-2.68
B (0.0862, 0.7513, 0.3348)  3 B 1.78-1.79
B (0.4165, 0.7513, 0.6652)  3 B 1.78-1.79
B (0.5835, 0.2487, 0.3348)  3 B 1.78-1.79
B (0.9138, 0.2487, 0.6652)  3 B 1.78-1.79

***

DFT (PBE-GGA) results for an optimized crystal structure of Li4ZnPt.

Computed properties:
VASP energy = -2.8682 eV per atom
SG = No. 15

a = 5.0051 Å, b = 5.0051 Å, c = 9.1544 Å
α = 108.98°, β = 108.98°, γ = 51.09°
Closest atoms and distances in Å follow each position.
Fractional positions:
Li (0.0610, 0.5627, 0.7270)  5 Li 2.51-2.63, 2 Pt 2.71, 1 Zn 2.75
Li (0.1954, 0.6954, 0.5276)  5 Li 2.50-2.63, 2 Zn 2.74, 1 Pt 2.76
Li (0.3046, 0.8046, 0.9724)  5 Li 2.50-2.63, 2 Zn 2.74, 1 Pt 2.76
Li (0.4373, 0.9390, 0.7730)  5 Li 2.51-2.63, 2 Pt 2.71, 1 Zn 2.75
Li (0.5627, 0.0610, 0.2270)  5 Li 2.51-2.63, 2 Pt 2.71, 1 Zn 2.75
Li (0.6954, 0.1954, 0.0276)  5 Li 2.50-2.63, 2 Zn 2.74, 1 Pt 2.76
Li (0.8046, 0.3046, 0.4724)  5 Li 2.50-2.63, 2 Zn 2.74, 1 Pt 2.76
Li (0.9390, 0.4373, 0.2730)  5 Li 2.51-2.63, 2 Pt 2.71, 1 Zn 2.75
Zn (0.0000, 0.5000, 0.0000)  2 Pt 2.57, 8 Li 2.74-2.85
Zn (0.5000, 0.0000, 0.5000)  2 Pt 2.57, 8 Li 2.74-2.85
Pt (0.2506, 0.7494, 0.2500)  2 Zn 2.57, 6 Li 2.71-2.76
Pt (0.7494, 0.2506, 0.7500)  2 Zn 2.57, 6 Li 2.71-2.76

***

DFT (PBE-GGA) results for an optimized crystal structure of BaCuSb2Pd.

Computed properties:
VASP energy = -4.4304 eV per atom
SG = No. 129

a = 4.7787 Å, b = 4.7787 Å, c = 10.6758 Å
α = 90.00°, β = 90.00°, γ = 90.00°
Closest atoms and distances in Å follow each position.
Fractional positions:
Ba (0.2500, 0.2500, 0.2451)  4 Pd 3.54, 9 Sb 3.61-3.95, 4 Cu 3.65
Ba (0.7500, 0.7500, 0.7549)  4 Pd 3.54, 9 Sb 3.61-3.95, 4 Cu 3.65
Cu (0.2500, 0.2500, 0.6249)  5 Sb 2.67-2.74
Cu (0.7500, 0.7500, 0.3751)  5 Sb 2.67-2.74
Sb (0.2500, 0.2500, 0.8751)  1 Cu 2.67, 4 Pd 2.74
Sb (0.2500, 0.7500, 0.5000)  4 Cu 2.74
Sb (0.7500, 0.2500, 0.5000)  4 Cu 2.74
Sb (0.7500, 0.7500, 0.1249)  1 Cu 2.67, 4 Pd 2.74
Pd (0.2500, 0.7500, 0.0000)  4 Sb 2.74
Pd (0.7500, 0.2500, 0.0000)  4 Sb 2.74

***

DFT (PBE-GGA) results for an optimized crystal structure of BaLi2Zn.

Computed properties:
VASP energy = -1.7162 eV per atom
SG = No. 216

a = 5.3817 Å, b = 5.3817 Å, c = 5.3817 Å
α = 60.00°, β = 60.00°, γ = 60.00°
Closest atoms and distances in Å follow each position.
Fractional positions:
Ba (0.0000, 0.0000, 0.0000)  4 Li 3.30, 4 Zn 3.30
Li (0.5000, 0.5000, 0.5000)  4 Li 3.30, 4 Zn 3.30
Li (0.7500, 0.7500, 0.7500)  4 Li 3.30, 4 Ba 3.30
Zn (0.2500, 0.2500, 0.2500)  4 Li 3.30, 4 Ba 3.30

***

DFT (PBE-GGA) results for an optimized crystal structure of Sm3Gd3Te2Os.

Computed properties:
VASP energy = -5.7529 eV per atom
SG = No. 189

a = 8.4771 Å, b = 8.4771 Å, c = 4.0381 Å
α = 90.00°, β = 90.00°, γ = 120.00°
Closest atoms and distances in Å follow each position.
Fractional positions:
Sm (0.0000, 0.7583, 0.0000)  2 Os 2.88
Sm (0.2417, 0.2417, 0.0000)  2 Os 2.88
Sm (0.7583, 0.0000, 0.0000)  2 Os 2.88
Gd (0.0000, 0.3993, 0.5000)  4 Te 3.29, 1 Os 3.39, 6 Sm 3.58-3.65
Gd (0.3993, 0.0000, 0.5000)  4 Te 3.29, 1 Os 3.39, 6 Sm 3.58-3.65
Gd (0.6007, 0.6007, 0.5000)  4 Te 3.29, 1 Os 3.39, 6 Sm 3.58-3.65
Te (0.3333, 0.6667, 0.0000)  3 Sm 3.28, 6 Gd 3.29
Te (0.6667, 0.3333, 0.0000)  3 Sm 3.28, 6 Gd 3.29
Os (0.0000, 0.0000, 0.5000)  6 Sm 2.88

***

DFT (PBE-GGA) results for an optimized crystal structure of TbCoSn2.

Computed properties:
VASP energy = -5.3382 eV per atom
SG = No. 63

a = 9.4038 Å, b = 9.4038 Å, c = 4.4572 Å
α = 90.00°, β = 90.00°, γ = 153.16°
Closest atoms and distances in Å follow each position.
Fractional positions:
Tb (0.1140, 0.8860, 0.7500)  10 Sn 3.29-3.68, 4 Co 3.34
Tb (0.8860, 0.1140, 0.2500)  10 Sn 3.29-3.68, 4 Co 3.34
Co (0.3203, 0.6797, 0.7500)  5 Sn 2.41-2.56
Co (0.6797, 0.3203, 0.2500)  5 Sn 2.41-2.56
Sn (0.2511, 0.7489, 0.2500)  4 Co 2.54-2.56
Sn (0.4522, 0.5478, 0.7500)  1 Co 2.41
Sn (0.5478, 0.4522, 0.2500)  1 Co 2.41
Sn (0.7489, 0.2511, 0.7500)  4 Co 2.54-2.56

***

DFT (PBE-GGA) results for an optimized crystal structure of NbZnNiB.

Computed properties:
VASP energy = -5.7184 eV per atom
SG = No. 216

a = 4.1030 Å, b = 4.1030 Å, c = 4.1030 Å
α = 60.00°, β = 60.00°, γ = 60.00°
Closest atoms and distances in Å follow each position.
Fractional positions:
Nb (0.0000, 0.0000, 0.0000)  4 Ni 2.51, 4 B 2.51
Zn (0.5000, 0.5000, 0.5000)  4 Ni 2.51, 4 B 2.51
Ni (0.7500, 0.7500, 0.7500)  4 Nb 2.51, 4 Zn 2.51
B (0.2500, 0.2500, 0.2500)  4 Nb 2.51, 4 Zn 2.51

***

DFT (PBE-GGA) results for an optimized crystal structure of Ge2Pt9.

Computed properties:
VASP energy = -5.7922 eV per atom
SG = No. 164

a = 2.8264 Å, b = 2.8264 Å, c = 37.5287 Å
α = 90.00°, β = 90.00°, γ = 120.00°
Closest atoms and distances in Å follow each position.
Fractional positions:
Ge (0.3333, 0.6667, 0.3019)  3 Pt 2.68, 6 Ge 2.83
Ge (0.6667, 0.3333, 0.6981)  3 Pt 2.68, 6 Ge 2.83
Pt (0.0000, 0.0000, 0.0000)  12 Pt 2.79-2.83
Pt (0.0000, 0.0000, 0.1817)  12 Pt 2.82-2.88
Pt (0.0000, 0.0000, 0.8183)  12 Pt 2.82-2.88
Pt (0.3333, 0.6667, 0.1205)  12 Pt 2.79-2.83
Pt (0.3333, 0.6667, 0.7549)  3 Ge 2.68, 9 Pt 2.83-2.88
Pt (0.3333, 0.6667, 0.9398)  12 Pt 2.79-2.83
Pt (0.6667, 0.3333, 0.0602)  12 Pt 2.79-2.83
Pt (0.6667, 0.3333, 0.2451)  3 Ge 2.68, 9 Pt 2.83-2.88
Pt (0.6667, 0.3333, 0.8795)  12 Pt 2.79-2.83

***

DFT (PBE-GGA) results for an optimized crystal structure of GdTcPO.

Computed properties:
VASP energy = -6.5791 eV per atom
SG = No. 129

a = 4.2174 Å, b = 4.2174 Å, c = 8.8037 Å
α = 90.00°, β = 90.00°, γ = 90.00°
Closest atoms and distances in Å follow each position.
Fractional positions:
Gd (0.2500, 0.7500, 0.0000)  4 P 2.82, 4 Gd 2.98
Gd (0.7500, 0.2500, 0.0000)  4 P 2.82, 4 Gd 2.98
Tc (0.2500, 0.2500, 0.4646)  4 O 2.13, 1 P 2.22
Tc (0.7500, 0.7500, 0.5354)  4 O 2.13, 1 P 2.22
P (0.2500, 0.2500, 0.2129)  1 Tc 2.22
P (0.7500, 0.7500, 0.7871)  1 Tc 2.22
O (0.2500, 0.7500, 0.5000)  4 Tc 2.13
O (0.7500, 0.2500, 0.5000)  4 Tc 2.13

***

DFT (PBE-GGA) results for an optimized crystal structure of PrMg2H7.

Computed properties:
VASP energy = -3.4636 eV per atom
SG = No. 92

a = 6.2273 Å, b = 6.2273 Å, c = 9.3595 Å
α = 90.00°, β = 90.00°, γ = 90.00°
Closest atoms and distances in Å follow each position.
Fractional positions:
Pr (0.2269, 0.2269, 0.0000)  12 H 2.32-2.48
Pr (0.2731, 0.7269, 0.2500)  12 H 2.32-2.48
Pr (0.7269, 0.2731, 0.7500)  12 H 2.32-2.48
Pr (0.7731, 0.7731, 0.5000)  12 H 2.32-2.48
Mg (0.0261, 0.7374, 0.9006)  7 H 1.90-2.07
Mg (0.2374, 0.4739, 0.6506)  7 H 1.90-2.07
Mg (0.2626, 0.9739, 0.5994)  7 H 1.90-2.07
Mg (0.4739, 0.2374, 0.3494)  7 H 1.90-2.07
Mg (0.5261, 0.7626, 0.8494)  7 H 1.90-2.07
Mg (0.7374, 0.0261, 0.0994)  7 H 1.90-2.07
Mg (0.7626, 0.5261, 0.1506)  7 H 1.90-2.07
Mg (0.9739, 0.2626, 0.4006)  7 H 1.90-2.07
H (0.0339, 0.9632, 0.1215)  1 Mg 1.90
H (0.0368, 0.9661, 0.3785)  1 Mg 1.90
H (0.0625, 0.4281, 0.8227)  2 Mg 1.96-2.07
H (0.0719, 0.5625, 0.0727)  2 Mg 1.96-2.07
H (0.1611, 0.6935, 0.5031)  2 Mg 2.00-2.06, 1 H 2.20
H (0.1935, 0.3389, 0.2531)  2 Mg 2.00-2.06, 1 H 2.20
H (0.2412, 0.7588, 0.7500)  4 Mg 1.95-2.00
H (0.2588, 0.2588, 0.5000)  4 Mg 1.95-2.00
H (0.3065, 0.8389, 0.9969)  2 Mg 2.00-2.06, 1 H 2.20
H (0.3389, 0.1935, 0.7469)  2 Mg 2.00-2.06, 1 H 2.20
H (0.4281, 0.0625, 0.1773)  2 Mg 1.96-2.07
H (0.4375, 0.9281, 0.4273)  2 Mg 1.96-2.07
H (0.4632, 0.4661, 0.8715)  1 Mg 1.90
H (0.4661, 0.4632, 0.1285)  1 Mg 1.90
H (0.5339, 0.5368, 0.6285)  1 Mg 1.90
H (0.5368, 0.5339, 0.3715)  1 Mg 1.90
H (0.5625, 0.0719, 0.9273)  2 Mg 1.96-2.07
H (0.5719, 0.9375, 0.6773)  2 Mg 1.96-2.07
H (0.6611, 0.8065, 0.2469)  2 Mg 2.00-2.06, 1 H 2.20
H (0.6935, 0.1611, 0.4969)  2 Mg 2.00-2.06, 1 H 2.20
H (0.7412, 0.7412, 0.0000)  4 Mg 1.95-2.00
H (0.7588, 0.2412, 0.2500)  4 Mg 1.95-2.00
H (0.8065, 0.6611, 0.7531)  2 Mg 2.00-2.06, 1 H 2.20
H (0.8389, 0.3065, 0.0031)  2 Mg 2.00-2.06, 1 H 2.20
H (0.9281, 0.4375, 0.5727)  2 Mg 1.96-2.07
H (0.9375, 0.5719, 0.3227)  2 Mg 1.96-2.07
H (0.9632, 0.0339, 0.8785)  1 Mg 1.90
H (0.9661, 0.0368, 0.6215)  1 Mg 1.90

***

DFT (PBE-GGA) results for an optimized crystal structure of CoW14.

Computed properties:
ΔH_f (0 K) = 0.15 eV per atom
VASP energy = -12.4209 eV per atom
SG = No. 136

a = 9.7128 Å, b = 9.7128 Å, c = 5.0853 Å
α = 90.00°, β = 90.00°, γ = 90.00°
Closest atoms and distances in Å follow each position.
Fractional positions:
Co (0.0000, 0.0000, 0.0000)  8 W 2.54-2.81
Co (0.5000, 0.5000, 0.5000)  8 W 2.54-2.81
W (0.0361, 0.3712, 0.5000)  6 W 2.60-2.81
W (0.0631, 0.2541, 0.0000)  1 Co 2.54, 9 W 2.62-2.84
W (0.1026, 0.1026, 0.5000)  7 W 2.69-2.96, 2 Co 2.91
W (0.1288, 0.5361, 0.0000)  6 W 2.60-2.81
W (0.1826, 0.8174, 0.2509)  4 W 2.53-2.79, 1 Co 2.81
W (0.1826, 0.8174, 0.7491)  4 W 2.53-2.79, 1 Co 2.81
W (0.2459, 0.5631, 0.5000)  1 Co 2.54, 9 W 2.62-2.84
W (0.2541, 0.0631, 0.0000)  1 Co 2.54, 9 W 2.62-2.84
W (0.3174, 0.3174, 0.2491)  4 W 2.53-2.79, 1 Co 2.81
W (0.3174, 0.3174, 0.7509)  4 W 2.53-2.79, 1 Co 2.81
W (0.3712, 0.0361, 0.5000)  6 W 2.60-2.81
W (0.3974, 0.6026, 0.0000)  7 W 2.69-2.96, 2 Co 2.91
W (0.4369, 0.7541, 0.5000)  1 Co 2.54, 9 W 2.62-2.84
W (0.4639, 0.8712, 0.0000)  6 W 2.60-2.81
W (0.5361, 0.1288, 0.0000)  6 W 2.60-2.81
W (0.5631, 0.2459, 0.5000)  1 Co 2.54, 9 W 2.62-2.84
W (0.6026, 0.3974, 0.0000)  7 W 2.69-2.96, 2 Co 2.91
W (0.6288, 0.9639, 0.5000)  6 W 2.60-2.81
W (0.6826, 0.6826, 0.2491)  4 W 2.53-2.79, 1 Co 2.81
W (0.6826, 0.6826, 0.7509)  4 W 2.53-2.79, 1 Co 2.81
W (0.7459, 0.9369, 0.0000)  1 Co 2.54, 9 W 2.62-2.84
W (0.7541, 0.4369, 0.5000)  1 Co 2.54, 9 W 2.62-2.84
W (0.8174, 0.1826, 0.2509)  4 W 2.53-2.79, 1 Co 2.81
W (0.8174, 0.1826, 0.7491)  4 W 2.53-2.79, 1 Co 2.81
W (0.8712, 0.4639, 0.0000)  6 W 2.60-2.81
W (0.8974, 0.8974, 0.5000)  7 W 2.69-2.96, 2 Co 2.91
W (0.9369, 0.7459, 0.0000)  1 Co 2.54, 9 W 2.62-2.84
W (0.9639, 0.6288, 0.5000)  6 W 2.60-2.81

***

DFT (PBE-GGA) results for an optimized crystal structure of ErMg2Cd.

Computed properties:
VASP energy = -2.2965 eV per atom
SG = No. 63

a = 6.4769 Å, b = 6.4769 Å, c = 4.8851 Å
α = 90.00°, β = 90.00°, γ = 112.85°
Closest atoms and distances in Å follow each position.
Fractional positions:
Er (0.1335, 0.8665, 0.7500)  2 Cd 3.19, 8 Mg 3.22-3.29
Er (0.8665, 0.1335, 0.2500)  2 Cd 3.19, 8 Mg 3.22-3.29
Mg (0.1915, 0.3844, 0.7500)  4 Cd 3.00-3.31, 3 Mg 3.04-3.21, 4 Er 3.22-3.29
Mg (0.3844, 0.1915, 0.2500)  4 Cd 3.00-3.31, 3 Mg 3.04-3.21, 4 Er 3.22-3.29
Mg (0.6156, 0.8085, 0.7500)  4 Cd 3.00-3.31, 3 Mg 3.04-3.21, 4 Er 3.22-3.29
Mg (0.8085, 0.6156, 0.2500)  4 Cd 3.00-3.31, 3 Mg 3.04-3.21, 4 Er 3.22-3.29
Cd (0.3237, 0.6763, 0.2500)  8 Mg 3.00-3.31, 2 Er 3.19
Cd (0.6763, 0.3237, 0.7500)  8 Mg 3.00-3.31, 2 Er 3.19

***

DFT (PBE-GGA) results for an optimized crystal structure of NiOsPd2.

Computed properties:
ΔH_f (0 K) = 0.41 eV per atom
VASP energy = -6.3752 eV per atom
SG = No. 216

a = 4.3061 Å, b = 4.3061 Å, c = 4.3061 Å
α = 60.00°, β = 60.00°, γ = 60.00°
Closest atoms and distances in Å follow each position.
Fractional positions:
Ni (0.0000, 0.0000, 0.0000)  4 Pd 2.64, 4 Os 2.64
Os (0.2500, 0.2500, 0.2500)  4 Ni 2.64, 4 Pd 2.64
Pd (0.5000, 0.5000, 0.5000)  4 Os 2.64, 4 Pd 2.64
Pd (0.7500, 0.7500, 0.7500)  4 Ni 2.64, 4 Pd 2.64

***

DFT (PBE-GGA) results for an optimized crystal structure of LaNdSi.

Computed properties:
VASP energy = -5.4892 eV per atom
SG = No. 216

a = 5.0736 Å, b = 5.0736 Å, c = 5.0736 Å
α = 60.00°, β = 60.00°, γ = 60.00°
Closest atoms and distances in Å follow each position.
Fractional positions:
La (0.0000, 0.0000, 0.0000)  4 Si 3.11
Nd (0.5000, 0.5000, 0.5000)  4 Si 3.11
Si (0.2500, 0.2500, 0.2500)  4 La 3.11, 4 Nd 3.11

***

DFT (PBE-GGA) results for an optimized crystal structure of DyHoSiGeOs.

Computed properties:
VASP energy = -6.7874 eV per atom
SG = No. 12

a = 5.7874 Å, b = 5.7874 Å, c = 9.9993 Å
α = 116.31°, β = 116.31°, γ = 43.50°
Closest atoms and distances in Å follow each position.
Fractional positions:
Dy (0.1837, 0.1837, 0.1095)  1 Ge 2.90, 4 Si 2.99-3.08, 2 Os 3.20
Dy (0.8163, 0.8163, 0.8905)  1 Ge 2.90, 4 Si 2.99-3.08, 2 Os 3.20
Ho (0.0052, 0.0052, 0.6794)  2 Si 2.92, 4 Ge 3.05-3.13, 4 Os 3.13-3.15
Ho (0.9948, 0.9948, 0.3206)  2 Si 2.92, 4 Ge 3.05-3.13, 4 Os 3.13-3.15
Si (0.4969, 0.4969, 0.1240)  1 Os 2.49, 1 Si 2.51
Si (0.5031, 0.5031, 0.8760)  1 Os 2.49, 1 Si 2.51
Ge (0.3573, 0.3573, 0.4376)  3 Os 2.48-2.52, 1 Ge 2.70
Ge (0.6427, 0.6427, 0.5624)  3 Os 2.48-2.52, 1 Ge 2.70
Os (0.2741, 0.2741, 0.6348)  3 Ge 2.48-2.52, 1 Si 2.49
Os (0.7259, 0.7259, 0.3652)  3 Ge 2.48-2.52, 1 Si 2.49

***

DFT (PBE-GGA) results for an optimized crystal structure of NdDyAl2Ni4.

Computed properties:
VASP energy = -5.4471 eV per atom
SG = No. 187

a = 4.1596 Å, b = 4.1596 Å, c = 9.1564 Å
α = 90.00°, β = 90.00°, γ = 120.00°
Closest atoms and distances in Å follow each position.
Fractional positions:
Nd (0.0000, 0.0000, 0.0000)  8 Ni 2.90-3.02
Dy (0.3333, 0.6667, 0.5000)  8 Ni 2.74-2.93
Al (0.6667, 0.3333, 0.2586)  6 Ni 2.46
Al (0.6667, 0.3333, 0.7414)  6 Ni 2.46
Ni (0.0000, 0.0000, 0.3168)  3 Al 2.46, 3 Ni 2.63
Ni (0.0000, 0.0000, 0.6832)  3 Al 2.46, 3 Ni 2.63
Ni (0.3333, 0.6667, 0.2007)  3 Al 2.46, 3 Ni 2.63, 1 Dy 2.74
Ni (0.3333, 0.6667, 0.7993)  3 Al 2.46, 3 Ni 2.63, 1 Dy 2.74